A relaxed Dy3SnTe crystal, computed with PBE-GGA.

Calculated values
uncorrected formation energy	-0.6815	eV per atom
symmetry	C2/m, No. 12
volume	34.86	Å³/atom
energy	-4.87	eV/atom

Geometry as POSCAR:
```
Dy3SnTe
1.0
4.382 0.000 0.000
-2.191 9.095 0.473
0.000 -0.109 8.741
Dy Te Sn
6 2 2
direct
0.178 0.356 0.505
0.822 0.644 0.495
0.084 0.169 0.138
0.916 0.831 0.862
0.701 0.402 0.864
0.299 0.598 0.136
0.079 0.159 0.794
0.921 0.841 0.206
0.315 0.630 0.752
0.685 0.370 0.248
```